1.
{
  "formula": "Ce7Ga5Sn",
  "functional": "PBE-GGA",
  "state": "relaxed",
  "total_magnetization_mub_per_cell": 5.1,
  "formation_energy_ev_per_atom": -0.353,
  "lattice": [[-2.973, 5.207, 5.280], [2.973, -5.207, 5.280], [2.973, 5.207, -5.280]],
  "species": ["Ce", "Ce", "Ce", "Ce", "Ce", "Ce", "Ce", "Ga", "Ga", "Ga", "Ga", "Ga", "Sn"],
  "fractional_positions": [[0.000, 0.000, 0.000], [0.347, 0.670, 0.677], [0.356, 0.356, 0.000], [0.480, 0.147, 0.333], [0.815, 0.147, 0.667], [0.852, 0.352, 0.500], [0.993, 0.670, 0.323], [0.162, 0.167, 0.503], [0.162, 0.658, 0.995], [0.405, 0.905, 0.500], [0.663, 0.167, 0.005], [0.663, 0.658, 0.497], [0.672, 0.672, 0.000]]
}

2.
{
  "formula": "TiGeP",
  "functional": "PBE-GGA",
  "state": "relaxed",
  "total_magnetization_mub_per_cell": 0.0,
  "formation_energy_ev_per_atom": -0.327,
  "lattice": [[7.159, 0.000, 0.000], [-3.580, 6.200, 0.000], [0.000, 0.000, 3.386]],
  "species": ["Ti", "Ti", "Ti", "Ge", "Ge", "Ge", "P", "P", "P"],
  "fractional_positions": [[0.000, 0.000, 0.000], [0.333, 0.667, 0.500], [0.667, 0.333, 0.500], [0.000, 0.540, 0.000], [0.460, 0.460, 0.000], [0.540, 0.000, 0.000], [0.000, 0.271, 0.500], [0.271, 0.000, 0.500], [0.729, 0.729, 0.500]]
}

3.
{
  "formula": "Na2FeTe",
  "functional": "PBE-GGA",
  "state": "relaxed",
  "total_magnetization_mub_per_cell": 4.9,
  "lattice": [[-4.305, 4.305, 2.694], [4.305, -4.305, 2.694], [4.305, 4.305, -2.694]],
  "species": ["Na", "Na", "Na", "Na", "Fe", "Fe", "Te", "Te"],
  "fractional_positions": [[0.112, 0.625, 0.987], [0.375, 0.362, 0.487], [0.638, 0.125, 0.013], [0.875, 0.888, 0.513], [0.000, 0.000, 0.000], [0.750, 0.250, 0.500], [0.250, 0.750, 0.500], [0.500, 0.500, 0.000]]
}

4.
{
  "formula": "NpFeBr6",
  "functional": "PBE-GGA",
  "state": "relaxed",
  "total_magnetization_mub_per_cell": 1.0,
  "lattice": [[3.838, -6.231, 0.000], [3.838, 6.231, 0.000], [-0.509, 0.000, 6.539]],
  "species": ["Np", "Fe", "Br", "Br", "Br", "Br", "Br", "Br"],
  "fractional_positions": [[0.000, 0.000, 0.000], [0.000, 0.000, 0.500], [0.009, 0.711, 0.258], [0.280, 0.280, 0.296], [0.289, 0.991, 0.742], [0.711, 0.009, 0.258], [0.720, 0.720, 0.704], [0.991, 0.289, 0.742]]
}

5.
{
  "formula": "SrLiSn3",
  "functional": "PBE-GGA",
  "state": "relaxed",
  "de_polymorph_ev_per_atom": 0.1694,
  "total_magnetization_mub_per_cell": 0.0,
  "formation_energy_ev_per_atom": -0.216,
  "lattice": [[5.168, 0.000, 0.000], [0.000, 5.168, 0.000], [0.000, 0.000, 5.168]],
  "species": ["Sr", "Li", "Sn", "Sn", "Sn"],
  "fractional_positions": [[0.000, 0.000, 0.000], [0.500, 0.500, 0.500], [0.000, 0.500, 0.500], [0.500, 0.000, 0.500], [0.500, 0.500, 0.000]]
}

6.
{
  "formula": "Zr2Ga5CoRu2",
  "functional": "PBE-GGA",
  "state": "relaxed",
  "total_magnetization_mub_per_cell": 1.6,
  "formation_energy_ev_per_atom": -0.311,
  "lattice": [[10.304, 0.000, 0.000], [0.000, 10.304, 0.000], [0.000, 0.000, 3.045]],
  "species": ["Zr", "Zr", "Zr", "Zr", "Ga", "Ga", "Ga", "Ga", "Ga", "Ga", "Ga", "Ga", "Ga", "Ga", "Co", "Co", "Ru", "Ru", "Ru", "Ru"],
  "fractional_positions": [[0.178, 0.322, 0.000], [0.322, 0.822, 0.000], [0.678, 0.178, 0.000], [0.822, 0.678, 0.000], [0.000, 0.500, 0.500], [0.053, 0.815, 0.500], [0.185, 0.053, 0.500], [0.315, 0.553, 0.500], [0.447, 0.315, 0.500], [0.500, 0.000, 0.500], [0.553, 0.685, 0.500], [0.685, 0.447, 0.500], [0.815, 0.947, 0.500], [0.947, 0.185, 0.500], [0.000, 0.000, 0.000], [0.500, 0.500, 0.000], [0.135, 0.635, 0.000], [0.365, 0.135, 0.000], [0.635, 0.865, 0.000], [0.865, 0.365, 0.000]]
}

7.
{
  "formula": "AlZn",
  "functional": "PBE-GGA",
  "state": "relaxed",
  "total_magnetization_mub_per_cell": 0.0,
  "formation_energy_ev_per_atom": 0.064,
  "lattice": [[-4.163, 4.163, 1.955], [4.163, -4.163, 1.955], [4.163, 4.163, -1.955]],
  "species": ["Al", "Al", "Al", "Al", "Zn", "Zn", "Zn", "Zn"],
  "fractional_positions": [[0.000, 0.326, 0.326], [0.000, 0.674, 0.674], [0.326, 0.000, 0.326], [0.674, 0.000, 0.674], [0.339, 0.339, 0.677], [0.339, 0.661, 0.000], [0.661, 0.339, 0.000], [0.661, 0.661, 0.323]]
}

8.
{
  "formula": "K2CaTa",
  "functional": "PBE-GGA",
  "state": "relaxed",
  "de_polymorph_ev_per_atom": 0.3309,
  "total_magnetization_mub_per_cell": 2.7,
  "formation_energy_ev_per_atom": 1.197,
  "lattice": [[3.289, 0.000, 0.000], [0.000, 6.547, 0.000], [0.000, 0.000, 6.736]],
  "species": ["K", "K", "Ca", "Ta"],
  "fractional_positions": [[0.000, 0.000, 0.233], [0.000, 0.000, 0.767], [0.500, 0.500, 0.500], [0.500, 0.500, 0.000]]
}

The evaluated calculated total energy for the records listed, in turn: -5.020, -6.301, -3.298, -4.888, -3.337, -6.100, -2.444, -2.815 eV/atom.
The evaluated D(E_F) for the records listed, in turn: 2.469, 0.735, 1.241, 1.073, 0.617, 0.866, 0.306, 1.060 states/eV per atom.